{"formula": "FeMo4Pb", "functional": "PBE", "state": "relaxed", "lattice_angstrom": [[0.000, 3.750, 3.750], [3.750, 0.000, 3.750], [3.750, 3.750, 0.000]], "species": ["Fe", "Mo", "Mo", "Mo", "Mo", "Pb"], "fractional_positions": [[0.000, 0.000, 0.000], [0.879, 0.374, 0.374], [0.374, 0.374, 0.879], [0.374, 0.879, 0.374], [0.374, 0.374, 0.374], [0.750, 0.750, 0.750]], "formation_energy_ev_per_atom": 0.64}